Entry from Alexandria: crystalline Rb3Na at its relaxed geometry (PBE).

```
4
Lattice="-2.317 3.090 -3.236 -2.743 -3.866 -1.710 -8.393 2.308 8.178" Properties=species:S:1:pos:R:3 pbc="T T T"
Rb -11.732 1.059 1.557
Rb -1.720 0.473 1.675
Rb -6.726 0.766 1.616
Na -2.530 -0.388 -2.473
```

Values from the calculation:
space-group type = C2/m
DFT formation energy = 0.5 kcal/mol of atoms
E = -1.034 eV per atom

Entry from Alexandria: crystalline NaTaPS6 at its relaxed geometry (PBE).

```
9
Lattice="6.142 0.000 0.000 3.071 5.319 0.000 0.000 0.000 6.201" Properties=species:S:1:pos:R:3 pbc="T T T"
S 4.123 3.261 1.777
Ta 6.142 3.546 3.101
S 2.308 0.118 4.424
S 1.257 1.940 1.777
S 3.833 0.118 1.777
P 3.071 1.773 3.101
Na 6.142 0.000 6.201
S 2.019 3.260 4.424
S 4.885 1.940 4.424
```

Values from the calculation:
space-group type = P312
formation energy (no corrections) = -426 meV/atom
E = -5.242 eV per atom

Entry from Alexandria: crystalline CsSeBr3 at its relaxed geometry (PBE).

```
10
Lattice="-5.064 7.174 17.618 -4.845 -1.039 8.338 5.778 -5.677 -5.335" Properties=species:S:1:pos:R:3 pbc="T T T"
Br 2.070 -2.948 1.920
Se 2.087 -1.415 5.345
Br 0.602 0.500 10.089
Cs -2.180 -0.800 8.046
Br 1.634 -0.495 7.542
Se -6.218 1.872 15.276
Br -4.732 -0.043 10.532
Cs -1.951 1.257 12.575
Br -6.200 3.406 18.701
Br -5.764 0.953 13.079
```

Values from the calculation:
space-group type = C2/m
formation energy (no corrections) = -681 meV/atom
E = -2.552 eV per atom

Entry from Alexandria: crystalline FeRu2Se at its relaxed geometry (PBE).

```
4
Lattice="-4.168 -1.644 1.668 -0.517 -4.699 -0.714 3.477 2.688 1.882" Properties=species:S:1:pos:R:3 pbc="T T T"
Fe -1.517 -1.064 2.013
Ru 0.000 0.000 0.000
Se -2.343 -3.172 0.477
Ru 0.309 -2.591 0.822
```

Values from the calculation:
space-group type = I-4m2
formation energy (no corrections) = 421 meV/atom
E = -7.204 eV per atom

Entry from Alexandria: crystalline La6TlIn2Co at its relaxed geometry (PBE).

```
10
Lattice="-1.614 0.777 -6.736 -8.310 -2.539 4.121 4.480 6.006 0.552" Properties=species:S:1:pos:R:3 pbc="T T T"
La -1.559 0.116 -2.096
Tl 0.195 4.589 -0.489
La -7.863 -1.411 -1.016
Co -0.037 0.023 -0.009
La 0.774 5.197 -4.608
In -4.395 1.122 0.623
La -1.238 2.051 1.049
La -6.520 -0.727 2.435
La -4.781 1.756 -2.626
In -1.356 3.355 -2.797
```

Values from the calculation:
space-group type = P1
DFT formation energy = -6.4 kcal/mol of atoms
E = -4.730 eV per atom

Entry from Alexandria: crystalline Tm2ScCo at its relaxed geometry (PBE).

```
4
Lattice="-1.996 -0.199 -2.586 -0.740 -2.922 -1.275 -9.016 -1.740 5.022" Properties=species:S:1:pos:R:3 pbc="T T T"
Tm -7.103 -1.575 3.532
Sc -5.876 -2.431 0.581
Co 0.000 0.000 0.000
Tm -4.650 -3.286 -2.371
```

Values from the calculation:
relative energy among the computed polymorphs = 678 meV/atom
space-group type = R-3m
DFT formation energy = 10.8 kcal/mol of atoms
E = -5.125 eV per atom

Entry from Alexandria: crystalline PmSm3Pt2 at its relaxed geometry (PBE).

```
12
Lattice="3.853 0.000 0.000 0.000 8.705 0.000 0.000 0.000 9.974" Properties=species:S:1:pos:R:3 pbc="T T T"
Sm 1.927 1.486 7.780
Pm 1.927 4.401 5.577
Pt 0.000 6.382 4.314
Pt 1.927 2.323 0.664
Pt 0.000 2.029 5.659
Sm 0.000 8.658 0.583
Sm 0.000 7.218 7.191
Sm 0.000 4.306 9.391
Pt 1.927 6.676 9.309
Sm 0.000 2.865 2.782
Sm 1.927 5.839 2.194
Pm 1.927 0.049 4.397
```

Values from the calculation:
relative energy among the computed polymorphs = 0 meV/atom
space-group type = Pmc2_1
DFT formation energy = -18.7 kcal/mol of atoms
E = -5.978 eV per atom